[1]
Density functional theory data (PBE) for Ac2Ga4Pt5 after structural relaxation.

Values from the calculation:
- total magnetic moment (μB/f.u.) = 0.00
- E_form (eV/atom) = -0.905
- E_tot (eV per cell) = -60.5

```
Ac2Ga4Pt5
1.0
-3.0090 -0.0429 4.8900
-4.8917 -2.9977 0.3347
2.5326 -6.3379 4.8738
Pt Ga Ac
5 4 2
direct
0.7500 0.5000 0.5000
0.0000 0.5000 0.0000
0.5000 0.5000 0.0000
0.2500 0.5000 0.5000
0.5000 0.0000 0.0000
0.2111 0.3224 0.2554
0.5335 0.6776 0.2554
0.7889 0.6776 0.7446
0.4665 0.3224 0.7446
0.1320 0.0000 0.7360
0.8680 0.0000 0.2640
```

***

[2]
Density functional theory data (PBE) for U4Se4S after structural relaxation.

Values from the calculation:
- total magnetic moment (μB/f.u.) = 14.00
- E_tot (eV per cell) = -69.8
- raw formation energy (eV/atom) = -0.73

```
U4Se4S
1.0
6.9446 0.0000 0.0000
0.0000 6.9446 0.0000
-3.4723 -3.4723 5.4118
Se S U
4 1 4
direct
0.3261 0.3261 0.6522
0.6739 0.6739 0.3478
0.5000 0.0000 0.0000
0.0000 0.5000 0.0000
0.0000 0.0000 0.0000
0.0706 0.0706 0.7130
0.3576 0.9294 0.2870
0.6424 0.6424 0.7130
0.9294 0.3576 0.2870
```

***

[3]
Density functional theory data (PBE) for ReSbSI2 after structural relaxation.

Values from the calculation:
- relative energy among the computed polymorphs (meV/atom) = 0
- total magnetic moment (μB/f.u.) = 0.30
- E_tot (eV per cell) = -19.0
- raw formation energy (eV/atom) = 0.96

```
ReSbSI2
1.0
-4.2932 0.1338 3.0994
-2.6933 -2.7869 -3.6104
1.5341 -4.4864 2.3187
Sb Re I S
1 1 2 1
direct
0.0000 0.0000 0.5000
0.0000 0.0000 0.0000
0.0000 0.5000 0.0000
0.5000 0.0000 0.0000
0.5000 0.5000 0.5000
```

***

[4]
Density functional theory data (PBE) for CdBi4Mo2 after structural relaxation.

Values from the calculation:
- total magnetic moment (μB/f.u.) = 1.53
- E_form (eV/atom) = 0.987
- E_tot (eV per cell) = -31.2

```
CdBi4Mo2
1.0
-3.6281 -4.2867 -0.5407
3.1102 -2.1011 -4.2122
3.5103 -6.9729 2.2918
Mo Bi Cd
2 4 1
direct
0.4207 0.4207 0.1585
0.5793 0.5793 0.8415
0.7785 0.7785 0.4429
0.2215 0.2215 0.5571
0.5000 0.0000 0.0000
0.0000 0.5000 0.0000
0.0000 0.0000 0.0000
```

***

[5]
Density functional theory data (PBE) for Tb6Er2Ru after structural relaxation.

Values from the calculation:
- total magnetic moment (μB/f.u.) = 0.00
- E_form (eV/atom) = -0.057
- E_tot (eV per cell) = -46.7

```
Tb6Er2Ru
1.0
-0.7908 -2.6395 -2.4556
3.2996 -5.9242 5.3053
-11.3050 5.2006 -1.9513
Tb Er Ru
6 2 1
direct
0.5000 0.7160 0.9477
0.0000 0.2238 0.7792
0.0000 0.7762 0.2208
0.0004 0.2675 0.3023
0.5000 0.2840 0.0523
0.9996 0.7325 0.6977
0.4999 0.2323 0.5331
0.5001 0.7677 0.4669
0.0000 0.0000 0.0000
```

***

[6]
Density functional theory data (PBE) for CaRhN2 after structural relaxation.

Values from the calculation:
- relative energy among the computed polymorphs (meV/atom) = 0
- total magnetic moment (μB/f.u.) = 0.00
- E_tot (eV per cell) = -26.8
- raw formation energy (eV/atom) = -0.19

```
CaRhN2
1.0
-3.9349 2.5207 -2.7137
-5.1387 -0.3190 -1.6411
-4.9078 2.2277 0.3898
N Rh Ca
2 1 1
direct
0.2331 0.2331 0.2331
0.7669 0.7669 0.7669
0.5000 0.5000 0.5000
0.0000 0.0000 0.0000
```

***

[7]
Density functional theory data (PBE) for KNi2NCl after structural relaxation.

Values from the calculation:
- total magnetic moment (μB/f.u.) = 3.43
- E_tot (eV per cell) = -11.7
- raw formation energy (eV/atom) = 2.24

```
KNi2NCl
1.0
-1.4757 -2.8604 3.9142
3.9677 -2.5101 -0.3385
2.2929 3.1932 3.1979
Cl N Ni K
1 1 2 1
direct
0.5000 0.5000 0.5000
0.0000 0.5000 0.0000
0.0000 0.0000 0.5000
0.5000 0.0000 0.0000
0.0000 0.0000 0.0000
```

***

[8]
Density functional theory data (PBE) for BaTlCu2Se after structural relaxation.

Values from the calculation:
- total magnetic moment (μB/f.u.) = 0.00
- E_tot (eV per cell) = -10.6
- raw formation energy (eV/atom) = 1.07

```
BaTlCu2Se
1.0
5.4615 0.0000 0.0000
0.0000 6.9191 0.0000
0.0000 0.0000 5.4615
Cu Se Tl Ba
2 1 1 1
direct
0.0000 0.0000 0.5000
0.5000 0.0000 0.0000
0.5000 0.5000 0.5000
0.0000 0.5000 0.0000
0.0000 0.0000 0.0000
```